DFT (PBE) results for a geometry-optimized ZrHgAs2 structure.

Formation energy from the elements, meV per atom: -246
Energy, eV per cell: -38.27
Total magnetization, Bohr magnetons per cell: 0.00
D(E_F), states/eV per atom: 0.616

a b c (Å): 3.997 3.997 10.133
angles (deg): 90.00 90.00 90.00
Element x y z (fractional)
Zr1 0.000 0.000 0.000
Zr2 0.500 0.500 0.500
Hg1 0.000 0.500 0.250
Hg2 0.500 0.000 0.750
As1 0.000 0.000 0.500
As2 0.000 0.500 0.750
As3 0.500 0.000 0.250
As4 0.500 0.500 0.000

DFT (PBE) results for a geometry-optimized Tb3AlIr3 structure.

Formation energy from the elements, meV per atom: -884
Energy, eV per cell: -100.81
Total magnetization, Bohr magnetons per cell: 0.00
D(E_F), states/eV per atom: 0.537

a b c (Å): 5.566 5.566 13.799
angles (deg): 90.00 90.00 136.62
Element x y z (fractional)
Tb1 0.015 0.985 0.750
Tb2 0.295 0.705 0.606
Tb3 0.295 0.705 0.894
Tb4 0.705 0.295 0.106
Tb5 0.705 0.295 0.394
Tb6 0.985 0.015 0.250
Al1 0.000 0.000 0.000
Al2 0.000 0.000 0.500
Ir1 0.268 0.732 0.250
Ir2 0.416 0.584 0.088
Ir3 0.416 0.584 0.412
Ir4 0.584 0.416 0.588
Ir5 0.584 0.416 0.912
Ir6 0.732 0.268 0.750

DFT (PBE) results for a geometry-optimized LaZr5 structure.

Formation energy from the elements, meV per atom: 108
Energy, eV per cell: -94.05
Total magnetization, Bohr magnetons per cell: 0.00
D(E_F), states/eV per atom: 0.981

a b c (Å): 12.189 3.256 7.784
angles (deg): 90.00 104.52 90.00
Element x y z (fractional)
La1 0.000 0.000 0.000
La2 0.500 0.500 0.000
Zr1 0.056 0.000 0.610
Zr2 0.167 0.500 0.340
Zr3 0.230 0.500 0.950
Zr4 0.323 0.000 0.655
Zr5 0.387 0.000 0.298
Zr6 0.556 0.500 0.610
Zr7 0.667 0.000 0.340
Zr8 0.730 0.000 0.950
Zr9 0.823 0.500 0.655
Zr10 0.887 0.500 0.298

DFT (PBE) results for a geometry-optimized Pu2Cr2P2C structure.

Formation energy from the elements, meV per atom: -597
Energy, eV per cell: -144.27
Total magnetization, Bohr magnetons per cell: 21.21
D(E_F), states/eV per atom: 2.570

a b c (Å): 3.905 3.905 14.161
angles (deg): 90.00 90.00 90.00
Element x y z (fractional)
Pu1 0.000 0.000 0.171
Pu2 0.000 0.000 0.829
Pu3 0.500 0.500 0.329
Pu4 0.500 0.500 0.671
Cr1 0.000 0.500 0.000
Cr2 0.000 0.500 0.500
Cr3 0.500 0.000 0.000
Cr4 0.500 0.000 0.500
P1 0.000 0.000 0.388
P2 0.000 0.000 0.612
P3 0.500 0.500 0.112
P4 0.500 0.500 0.888
C1 0.000 0.000 0.000
C2 0.500 0.500 0.500

DFT (PBE) results for a geometry-optimized SrIn5I7 structure.

Energy, eV per cell: -71.28
Total magnetization, Bohr magnetons per cell: 0.00
D(E_F), states/eV per atom: 0.000

a b c (Å): 8.731 8.731 29.220
angles (deg): 90.15 90.15 31.10
Element x y z (fractional)
Sr1 0.000 0.000 0.000
Sr2 0.580 0.580 0.501
In1 0.068 0.068 0.678
In2 0.070 0.070 0.321
In3 0.246 0.246 0.897
In4 0.247 0.247 0.102
In5 0.332 0.332 0.602
In6 0.334 0.334 0.397
In7 0.509 0.509 0.821
In8 0.511 0.511 0.178
In9 0.789 0.789 0.749
In10 0.791 0.791 0.250
I1 0.154 0.154 0.790
I2 0.155 0.155 0.209
I3 0.221 0.221 0.500
I4 0.359 0.359 0.999
I5 0.424 0.424 0.709
I6 0.426 0.426 0.291
I7 0.585 0.585 0.069
I8 0.585 0.585 0.931
I9 0.702 0.702 0.637
I10 0.706 0.706 0.361
I11 0.874 0.874 0.861
I12 0.877 0.877 0.138
I13 0.993 0.993 0.569
I14 0.996 0.996 0.430

DFT (PBE) results for a geometry-optimized MnBePd2 structure.

Formation energy from the elements, meV per atom: -383
Energy, eV per cell: -24.81
Total magnetization, Bohr magnetons per cell: 4.17
D(E_F), states/eV per atom: 0.306

a b c (Å): 2.815 2.815 6.637
angles (deg): 90.00 90.00 90.00
Element x y z (fractional)
Mn1 0.000 0.000 0.000
Be1 0.000 0.000 0.500
Pd1 0.500 0.500 0.285
Pd2 0.500 0.500 0.715

DFT (PBE) results for a geometry-optimized NdSm2Th structure.

Formation energy from the elements, meV per atom: 87
Energy above the lowest structure with this stoichiometry, meV per atom: 67
Energy, eV per cell: -85.12
Total magnetization, Bohr magnetons per cell: 0.00
D(E_F), states/eV per atom: 1.642

a b c (Å): 3.537 28.168 5.501
angles (deg): 90.00 90.00 90.00
Element x y z (fractional)
Nd1 0.000 0.218 0.250
Nd2 0.000 0.782 0.750
Nd3 0.500 0.282 0.750
Nd4 0.500 0.718 0.250
Sm1 0.000 0.090 0.250
Sm2 0.000 0.346 0.250
Sm3 0.000 0.654 0.750
Sm4 0.000 0.910 0.750
Sm5 0.500 0.154 0.750
Sm6 0.500 0.410 0.750
Sm7 0.500 0.590 0.250
Sm8 0.500 0.846 0.250
Th1 0.000 0.471 0.250
Th2 0.000 0.529 0.750
Th3 0.500 0.029 0.750
Th4 0.500 0.971 0.250

DFT (PBE) results for a geometry-optimized TbDy2Cd structure.

Formation energy from the elements, meV per atom: -89
Energy above the lowest structure with this stoichiometry, meV per atom: 58
Energy, eV per cell: -15.11
Total magnetization, Bohr magnetons per cell: 0.49
D(E_F), states/eV per atom: 1.406

a b c (Å): 4.848 4.848 4.843
angles (deg): 90.00 90.00 90.00
Element x y z (fractional)
Tb1 0.000 0.000 0.000
Dy1 0.000 0.500 0.500
Dy2 0.500 0.000 0.500
Cd1 0.500 0.500 0.000

DFT (PBE) results for a geometry-optimized Na2AgCl structure.

Energy above the lowest structure with this stoichiometry, meV per atom: 4
Energy, eV per cell: -31.08
Total magnetization, Bohr magnetons per cell: 0.00
D(E_F), states/eV per atom: 0.118

a b c (Å): 4.025 4.025 22.007
angles (deg): 90.00 90.00 120.00
Element x y z (fractional)
Na1 0.000 0.000 0.241
Na2 0.000 0.000 0.759
Na3 0.333 0.667 0.426
Na4 0.333 0.667 0.908
Na5 0.667 0.333 0.092
Na6 0.667 0.333 0.574
Ag1 0.000 0.000 0.000
Ag2 0.333 0.667 0.667
Ag3 0.667 0.333 0.333
Cl1 0.000 0.000 0.500
Cl2 0.333 0.667 0.167
Cl3 0.667 0.333 0.833

DFT (PBE) results for a geometry-optimized Ac2EuSb structure.

Energy above the lowest structure with this stoichiometry, meV per atom: 184
Energy, eV per cell: -94.96
Total magnetization, Bohr magnetons per cell: 28.05
D(E_F), states/eV per atom: 1.304

a b c (Å): 8.359 8.359 8.359
angles (deg): 90.00 90.00 90.00
Element x y z (fractional)
Ac1 0.250 0.250 0.250
Ac2 0.250 0.250 0.750
Ac3 0.250 0.750 0.250
Ac4 0.250 0.750 0.750
Ac5 0.750 0.250 0.250
Ac6 0.750 0.250 0.750
Ac7 0.750 0.750 0.250
Ac8 0.750 0.750 0.750
Eu1 0.000 0.000 0.000
Eu2 0.000 0.500 0.500
Eu3 0.500 0.000 0.500
Eu4 0.500 0.500 0.000
Sb1 0.000 0.000 0.500
Sb2 0.000 0.500 0.000
Sb3 0.500 0.000 0.000
Sb4 0.500 0.500 0.500